Here is crystalline Tl4V3F10 at its relaxed geometry from Alexandria. Energies are from GGA+U.

Results
- VASP energy (eV per atom) = -5.240
- crystal system = tetragonal
- theoretical density (Mg/m³) = 6.78

extended XYZ file:
```
17
Lattice="4.226 0.000 -0.574 -0.078 4.226 -0.574 0.007 0.007 15.902" Properties=species:S:1:pos:R:3 pbc="T T T"
V 0.573 0.583 4.218
F 2.113 0.000 -0.287
Tl 2.359 2.403 1.523
V 0.000 0.000 0.000
Tl 1.797 1.830 13.231
F 1.470 3.649 10.823
F 3.301 3.363 8.463
F 3.622 1.537 10.823
F 0.286 0.291 2.103
F 2.686 0.583 3.931
F 0.854 0.870 6.291
F 0.534 2.696 3.931
F -0.039 2.113 -0.287
F 3.870 3.942 12.650
Tl 1.230 1.253 9.056
V 3.583 3.650 10.536
Tl 2.926 2.980 5.698
```